! ScMoF3 PBE+U relaxed; values from VASP
&SYSTEM
  ibrav = 0, nat = 5, ntyp = 3
/
ATOMIC_SPECIES
Sc 44.96 Sc.upf
Mo 95.94 Mo.upf
F 19.00 F.upf
CELL_PARAMETERS angstrom
4.277 0.000 0.000
0.000 4.277 0.000
0.000 0.000 4.277
ATOMIC_POSITIONS angstrom
Sc 0.000 0.000 0.000
Mo 2.138 2.138 2.138
F 0.000 2.138 0.000
F 0.000 0.000 2.138
F 2.138 0.000 0.000
! Spin magnetization = 5.04 μB/cell
! Excess energy over the best structure of this formula in the dataset = 0 meV per atom
! Space-group type = Pm-3m